10
Lattice="3.9560 2.2840 3.3530 -3.9560 2.2840 3.3530 0.0000 -4.5679 3.3530" Properties=species:S:1:pos:R:3 comment="PBE Ta3NbRh, relaxed" space_group=R-3 total_energy_ev_per_atom=-10.467 e_form_mev_per_atom=129 n_ef_per_ev_atom=1.004 volume_a3_per_atom=18.2 polymorph_energy_mev_per_atom=40 pbc="T T T"
Ta -1.3600 -2.3219 4.3768
Ta -2.6908 0.0168 5.6823
Ta -1.3309 2.3387 4.3768
Ta 1.3309 -2.3387 5.6823
Ta 2.6908 -0.0168 4.3768
Ta 1.3600 2.3219 5.6823
Nb 0.0000 0.0000 3.6986
Nb 0.0000 0.0000 6.3606
Rh 0.0000 0.0000 1.2002
Rh 0.0000 0.0000 8.8589